# EuGdTl2, relaxed, DFT PBE-GGA
# Energy above the lowest structure with this stoichiometry   0.036 eV/atom
# Space group   Fm-3m, No. 225
# E   -30.59 eV for the cell shown
data_EuGdTl2
_space_group_name_H-M_alt 'P 1'
_space_group_IT_number 1
_cell_length_a 5.529
_cell_length_b 5.529
_cell_length_c 5.529
_cell_angle_alpha 60.00
_cell_angle_beta 60.00
_cell_angle_gamma 60.00
loop_
_space_group_symop_operation_xyz
'x,y,z'
loop_
_atom_site_label
_atom_site_fract_x
_atom_site_fract_y
_atom_site_fract_z
Gd1 0.000 0.000 0.000
Tl1 0.250 0.250 0.250
Eu1 0.500 0.500 0.500
Tl2 0.750 0.750 0.750

# EuGdTmTl, relaxed, DFT PBE-GGA
# Space group   F-43m, No. 216
# E   -31.38 eV for the cell shown
data_EuGdTmTl
_space_group_name_H-M_alt 'P 1'
_space_group_IT_number 1
_cell_length_a 5.557
_cell_length_b 5.557
_cell_length_c 5.557
_cell_angle_alpha 60.00
_cell_angle_beta 60.00
_cell_angle_gamma 60.00
loop_
_space_group_symop_operation_xyz
'x,y,z'
loop_
_atom_site_label
_atom_site_fract_x
_atom_site_fract_y
_atom_site_fract_z
Tl1 0.500 0.500 0.500
Gd1 0.250 0.250 0.250
Eu1 0.750 0.750 0.750
Tm1 0.000 0.000 0.000

# EuGd2Tm, relaxed, DFT PBE-GGA
# Energy above the lowest structure with this stoichiometry   0.061 eV/atom
# Space group   P4/mmm, No. 123
# E   -42.42 eV for the cell shown
data_EuGd2Tm
_space_group_name_H-M_alt 'P 1'
_space_group_IT_number 1
_cell_length_a 3.799
_cell_length_b 5.914
_cell_length_c 5.914
_cell_angle_alpha 90.00
_cell_angle_beta 90.00
_cell_angle_gamma 90.00
loop_
_space_group_symop_operation_xyz
'x,y,z'
loop_
_atom_site_label
_atom_site_fract_x
_atom_site_fract_y
_atom_site_fract_z
Gd1 0.000 0.500 0.000
Tm1 0.500 0.000 0.000
Eu1 0.500 0.500 0.500
Gd2 0.000 0.000 0.500

# EuGdTm, relaxed, DFT PBE-GGA
# Space group   I4mm, No. 107
# E   -28.66 eV for the cell shown
data_EuGdTm
_space_group_name_H-M_alt 'P 1'
_space_group_IT_number 1
_cell_length_a 3.659
_cell_length_b 3.659
_cell_length_c 8.032
_cell_angle_alpha 103.17
_cell_angle_beta 103.17
_cell_angle_gamma 90.00
loop_
_space_group_symop_operation_xyz
'x,y,z'
loop_
_atom_site_label
_atom_site_fract_x
_atom_site_fract_y
_atom_site_fract_z
Gd1 0.323 0.323 0.646
Eu1 0.004 0.004 0.007
Tm1 0.673 0.673 0.347

# EuGd2Tm, relaxed, DFT PBE-GGA
# Energy above the lowest structure with this stoichiometry   0.034 eV/atom
# Space group   P4/mmm, No. 123
# E   -42.53 eV for the cell shown
data_EuGd2Tm
_space_group_name_H-M_alt 'P 1'
_space_group_IT_number 1
_cell_length_a 5.093
_cell_length_b 5.107
_cell_length_c 5.107
_cell_angle_alpha 90.00
_cell_angle_beta 90.00
_cell_angle_gamma 90.00
loop_
_space_group_symop_operation_xyz
'x,y,z'
loop_
_atom_site_label
_atom_site_fract_x
_atom_site_fract_y
_atom_site_fract_z
Gd1 0.000 0.500 0.000
Eu1 0.500 0.000 0.000
Gd2 0.000 0.000 0.500
Tm1 0.500 0.500 0.500

# EuGdTm4, relaxed, DFT PBE-GGA
# Space group   F-43m, No. 216
# E   -40.70 eV for the cell shown
data_EuGdTm4
_space_group_name_H-M_alt 'P 1'
_space_group_IT_number 1
_cell_length_a 6.658
_cell_length_b 6.658
_cell_length_c 6.658
_cell_angle_alpha 60.00
_cell_angle_beta 60.00
_cell_angle_gamma 60.00
loop_
_space_group_symop_operation_xyz
'x,y,z'
loop_
_atom_site_label
_atom_site_fract_x
_atom_site_fract_y
_atom_site_fract_z
Tm1 0.626 0.626 0.122
Tm2 0.626 0.626 0.626
Tm3 0.122 0.626 0.626
Eu1 0.250 0.250 0.250
Gd1 0.000 0.000 0.000
Tm4 0.626 0.122 0.626

# Eu2GdTm, relaxed, DFT PBE-GGA
# Space group   Fm-3m, No. 225
# E   -38.42 eV for the cell shown
data_Eu2GdTm
_space_group_name_H-M_alt 'P 1'
_space_group_IT_number 1
_cell_length_a 5.849
_cell_length_b 5.849
_cell_length_c 5.849
_cell_angle_alpha 60.00
_cell_angle_beta 60.00
_cell_angle_gamma 60.00
loop_
_space_group_symop_operation_xyz
'x,y,z'
loop_
_atom_site_label
_atom_site_fract_x
_atom_site_fract_y
_atom_site_fract_z
Eu1 0.250 0.250 0.250
Tm1 0.000 0.000 0.000
Eu2 0.750 0.750 0.750
Gd1 0.500 0.500 0.500

# EuGd2Tm, relaxed, DFT PBE-GGA
# Energy above the lowest structure with this stoichiometry   0.000 eV/atom
# Space group   R-3m, No. 166
# E   -42.67 eV for the cell shown
data_EuGd2Tm
_space_group_name_H-M_alt 'P 1'
_space_group_IT_number 1
_cell_length_a 3.605
_cell_length_b 3.605
_cell_length_c 12.060
_cell_angle_alpha 81.41
_cell_angle_beta 81.41
_cell_angle_gamma 60.00
loop_
_space_group_symop_operation_xyz
'x,y,z'
loop_
_atom_site_label
_atom_site_fract_x
_atom_site_fract_y
_atom_site_fract_z
Gd1 0.755 0.755 0.736
Eu1 0.000 0.000 0.000
Tm1 0.500 0.500 0.500
Gd2 0.245 0.245 0.264

# EuGd2Tm, relaxed, DFT PBE-GGA
# Energy above the lowest structure with this stoichiometry   0.080 eV/atom
# Space group   Fm-3m, No. 225
# E   -42.35 eV for the cell shown
data_EuGd2Tm
_space_group_name_H-M_alt 'P 1'
_space_group_IT_number 1
_cell_length_a 5.743
_cell_length_b 5.743
_cell_length_c 5.743
_cell_angle_alpha 60.00
_cell_angle_beta 60.00
_cell_angle_gamma 60.00
loop_
_space_group_symop_operation_xyz
'x,y,z'
loop_
_atom_site_label
_atom_site_fract_x
_atom_site_fract_y
_atom_site_fract_z
Tm1 0.500 0.500 0.500
Gd1 0.250 0.250 0.250
Gd2 0.750 0.750 0.750
Eu1 0.000 0.000 0.000

# EuGdY2, relaxed, DFT PBE-GGA
# Energy above the lowest structure with this stoichiometry   0.070 eV/atom
# Space group   Fm-3m, No. 225
# E   -36.72 eV for the cell shown
data_EuGdY2
_space_group_name_H-M_alt 'P 1'
_space_group_IT_number 1
_cell_length_a 5.775
_cell_length_b 5.775
_cell_length_c 5.775
_cell_angle_alpha 60.00
_cell_angle_beta 60.00
_cell_angle_gamma 60.00
loop_
_space_group_symop_operation_xyz
'x,y,z'
loop_
_atom_site_label
_atom_site_fract_x
_atom_site_fract_y
_atom_site_fract_z
Y1 0.750 0.750 0.750
Y2 0.250 0.250 0.250
Eu1 0.000 0.000 0.000
Gd1 0.500 0.500 0.500

# EuGdY2, relaxed, DFT PBE-GGA
# Energy above the lowest structure with this stoichiometry   0.023 eV/atom
# Space group   P4/mmm, No. 123
# E   -36.91 eV for the cell shown
data_EuGdY2
_space_group_name_H-M_alt 'P 1'
_space_group_IT_number 1
_cell_length_a 5.100
_cell_length_b 5.145
_cell_length_c 5.145
_cell_angle_alpha 90.00
_cell_angle_beta 90.00
_cell_angle_gamma 90.00
loop_
_space_group_symop_operation_xyz
'x,y,z'
loop_
_atom_site_label
_atom_site_fract_x
_atom_site_fract_y
_atom_site_fract_z
Y1 0.000 0.500 0.000
Y2 0.000 0.000 0.500
Eu1 0.500 0.500 0.500
Gd1 0.500 0.000 0.000

# EuGd4Y, relaxed, DFT PBE-GGA
# Space group   F-43m, No. 216
# E   -64.04 eV for the cell shown
data_EuGd4Y
_space_group_name_H-M_alt 'P 1'
_space_group_IT_number 1
_cell_length_a 7.535
_cell_length_b 7.535
_cell_length_c 7.535
_cell_angle_alpha 60.00
_cell_angle_beta 60.00
_cell_angle_gamma 60.00
loop_
_space_group_symop_operation_xyz
'x,y,z'
loop_
_atom_site_label
_atom_site_fract_x
_atom_site_fract_y
_atom_site_fract_z
Gd1 0.388 0.388 0.388
Gd2 0.837 0.388 0.388
Gd3 0.388 0.388 0.837
Y1 0.000 0.000 0.000
Eu1 0.250 0.250 0.250
Gd4 0.388 0.837 0.388

Ordered formation energy results: -1.51 -0.18 0.48 0.17 0.38 1.54 0.68 0.24 0.56 0.56 0.38 9.03; unit eV per formula unit.
Ordered magnetization results: 0.1 15.0 22.7 0.1 22.6 17.4 22.0 7.4 7.9 15.2 0.2 37.8; unit μB per formula unit.